## a
Eu2TlPt | PBE | relaxed

The structure in POSCAR format:
```
Eu2TlPt
1.0
-1.329 5.133 0.476
-1.334 1.974 4.761
3.274 3.377 2.494
Tl Pt Eu
1 1 2
Cartesian
0.000 0.000 0.000 Tl
0.305 5.242 3.865 Pt
0.458 7.863 5.798 Eu
0.153 2.621 1.933 Eu
```

## Properties
As for the crystal system: cubic. As for the symmetry: No. 225.


## b
Eu2TlPt | PBE | relaxed

The structure in POSCAR format:
```
Eu2TlPt
1.0
-1.429 -1.885 3.287
-2.859 -2.843 -0.379
5.791 -8.710 0.018
Eu Pt Tl
2 1 1
Cartesian
3.391 -6.340 0.334 Eu
-1.889 -7.099 2.593 Eu
0.751 -6.719 1.463 Pt
0.000 0.000 0.000 Tl
```

## Properties
As for the crystal system: trigonal. As for the symmetry: No. 166.


## c
Eu2TlPt | PBE | relaxed

The structure in POSCAR format:
```
Eu2TlPt
1.0
-1.834 -1.083 2.957
3.086 -1.302 1.437
1.418 7.272 3.541
Pt Eu Tl
1 2 1
Cartesian
0.626 -1.192 2.197 Pt
0.300 1.538 0.749 Eu
1.118 5.733 2.792 Eu
1.335 2.444 3.968 Tl
```

## Properties
As for the crystal system: tetragonal. As for the symmetry: No. 123.


How do the energies compare? Relative to the most stable structure, in eV/atom: a 0.096; b 0.235; c 0.000.


## a
EuTm2Pt | PBE | relaxed

The structure in POSCAR format:
```
EuTm2Pt
1.0
-1.579 1.071 3.580
-2.933 -2.245 1.676
4.863 -5.477 6.081
Eu Pt Tm
1 1 2
Cartesian
0.176 -3.325 5.669 Eu
0.000 0.000 0.000 Pt
-0.492 -1.200 2.440 Tm
0.843 -5.451 8.897 Tm
```

## Properties
As for the crystal system: trigonal. As for the symmetry: No. 166.


## b
EuTm2Pt | PBE | relaxed

The structure in POSCAR format:
```
EuTm2Pt
1.0
-2.776 -0.239 2.155
-1.775 -1.761 -2.481
3.185 -7.771 3.238
Eu Tm Pt
1 2 1
Cartesian
-0.683 -4.886 1.456 Eu
0.570 -1.390 0.579 Tm
2.615 -6.381 2.659 Tm
-2.275 -1.000 -0.163 Pt
```

## Properties
As for the crystal system: tetragonal. As for the symmetry: No. 123.


How do the energies compare? Relative to the most stable structure, in eV/atom: a 0.026; b 0.000.


## a
EuUPt2 | PBE | relaxed

The structure in POSCAR format:
```
EuUPt2
1.0
-2.364 2.659 -1.912
0.464 0.631 -3.962
-5.299 -4.030 -3.320
Pt Eu U
2 1 1
Cartesian
-5.538 -0.708 -6.937 Pt
-1.661 -0.033 -2.258 Pt
-3.599 -0.370 -4.597 Eu
0.000 0.000 0.000 U
```

## Properties
As for the crystal system: trigonal. As for the symmetry: No. 166.


## b
EuUPt2 | PBE | relaxed

The structure in POSCAR format:
```
EuUPt2
1.0
-0.960 -2.213 2.535
-2.077 -1.684 -2.257
5.588 -4.482 -1.798
Pt U Eu
2 1 1
Cartesian
4.385 -3.518 -1.411 Pt
1.202 -0.965 -0.387 Pt
-1.519 -1.949 0.139 U
1.275 -4.190 -0.760 Eu
```

## Properties
As for the crystal system: tetragonal. As for the symmetry: No. 123.


How do the energies compare? Relative to the most stable structure, in eV/atom: a 0.010; b 0.000.